#w
# YFeNiSbC

A relaxed structure of YFeNiSbC (PBE-GGA, Alexandria via LeMat-Bulk).

Properties
N(E_F)   6.882 states/eV per cell
M_tot   0.000 μB/atom

abc: 3.859 3.259 12.689
angles: 90.00 90.00 90.00
Element x y z (fractional)
Y  0.000  0.000  0.000
Y  0.000  0.500  0.500
Fe  0.000  0.000  0.222
Fe  0.000  0.500  0.722
Ni  0.500  0.000  0.666
Ni  0.500  0.500  0.166
Sb  0.500  0.000  0.349
Sb  0.500  0.500  0.849
C  0.000  0.000  0.646
C  0.000  0.500  0.146

---

#x
# YFeNiSbC

A relaxed structure of YFeNiSbC (PBE-GGA, Alexandria via LeMat-Bulk).

Properties
N(E_F)   4.344 states/eV per cell
M_tot   0.000 μB/atom

abc: 3.451 3.651 12.472
angles: 90.00 90.00 90.00
Element x y z (fractional)
Y  0.000  0.000  0.000
Y  0.500  0.500  0.500
Fe  0.000  0.500  0.185
Fe  0.500  0.000  0.685
Ni  0.000  0.500  0.677
Ni  0.500  0.000  0.177
Sb  0.000  0.000  0.334
Sb  0.500  0.500  0.834
C  0.000  0.000  0.620
C  0.500  0.500  0.120

---

#x is the least stable structure shown above.